Below is a relaxed HPdAu crystal, with properties calculated at the PBE-GGA level.

Properties
Size of the total moment   0.000 μB/atom
Energy relative to the lowest polymorph listed for this composition   0.016 eV per atom

abc: 2.9424 2.9424 4.9662
angles: 90.00 90.00 120.00
Space group P3m1 (No. 156)
Inequivalent atoms, fractional coordinates:
1 H 0.0000 0.0000 0.0000
2 Pd 0.6667 0.3333 0.8680
3 Au 0.0000 0.0000 0.3926